# 1
The following is a PBE calculation of crystalline Zr4Au at its relaxed geometry, from the Alexandria database.

Output
- ΔE to the lowest computed polymorph (eV/f.u.) = 0.00
- raw total energy (eV/atom) = -7.6944
- N(E_F) (states/eV/atom) = 1.10
- ΔH_f (0 K) (eV per atom) = -0.20
- magnetization (μB/cell) = 0.00

Cell and atoms, written as CIF:
```
data_Zr4Au
_chemical_formula_sum 'Zr4 Au1'
_space_group_name_H-M_alt 'P 1'
_space_group_IT_number 1
_cell_length_a 3.952
_cell_length_b 5.580
_cell_length_c 5.580
_cell_angle_alpha 97.20
_cell_angle_beta 110.74
_cell_angle_gamma 69.26
loop_
_space_group_symop_operation_xyz
'x,y,z'
loop_
_atom_site_label
_atom_site_type_symbol
_atom_site_fract_x
_atom_site_fract_y
_atom_site_fract_z
Zr1 Zr 0.397 0.403 0.198
Zr2 Zr 0.200 0.198 0.597
Zr3 Zr 0.800 0.802 0.403
Zr4 Zr 0.603 0.597 0.802
Au1 Au 0.000 0.000 0.000
```

=====

# 2
The following is a PBE calculation of crystalline Si2Pb5N6 at its relaxed geometry, from the Alexandria database.

Output
- raw total energy (eV/atom) = -6.0626
- N(E_F) (states/eV/atom) = 0.20
- raw formation energy (eV/atom) = 0.0405
- magnetization (μB/cell) = 0.00

Cell and atoms, written as CIF:
```
data_Si2Pb5N6
_chemical_formula_sum 'Si4 Pb10 N12'
_space_group_name_H-M_alt 'P 1'
_space_group_IT_number 1
_cell_length_a 6.403
_cell_length_b 6.403
_cell_length_c 12.918
_cell_angle_alpha 76.22
_cell_angle_beta 76.22
_cell_angle_gamma 71.69
loop_
_space_group_symop_operation_xyz
'x,y,z'
loop_
_atom_site_label
_atom_site_type_symbol
_atom_site_fract_x
_atom_site_fract_y
_atom_site_fract_z
Pb1 Pb 0.017 0.204 0.317
Pb2 Pb 0.983 0.796 0.683
Pb3 Pb 0.204 0.017 0.817
Pb4 Pb 0.586 0.414 0.750
Pb5 Pb 0.226 0.543 0.019
Pb6 Pb 0.543 0.226 0.519
Pb7 Pb 0.414 0.586 0.250
Pb8 Pb 0.457 0.774 0.481
Pb9 Pb 0.796 0.983 0.183
Pb10 Pb 0.774 0.457 0.981
N1 N 0.816 0.182 0.877
N2 N 0.874 0.627 0.568
N3 N 0.126 0.373 0.432
N4 N 0.184 0.818 0.123
N5 N 0.747 0.764 0.850
N6 N 0.182 0.816 0.377
N7 N 0.764 0.747 0.350
N8 N 0.236 0.253 0.650
N9 N 0.253 0.236 0.150
N10 N 0.627 0.874 0.068
N11 N 0.818 0.184 0.623
N12 N 0.373 0.126 0.932
Si1 Si 0.981 0.665 0.425
Si2 Si 0.019 0.335 0.575
Si3 Si 0.335 0.019 0.075
Si4 Si 0.665 0.981 0.925
```

=====

# 3
The following is a PBE calculation of crystalline ZnPbW at its relaxed geometry, from the Alexandria database.

Output
- ΔE to the lowest computed polymorph (eV/f.u.) = 0.15
- raw total energy (eV/atom) = -5.2008
- N(E_F) (states/eV/atom) = 0.88
- ΔH_f (0 K) (eV per atom) = 0.78
- magnetization (μB/cell) = 0.00

Cell and atoms, written as CIF:
```
data_ZnPbW
_chemical_formula_sum 'Zn1 Pb1 W1'
_space_group_name_H-M_alt 'P 1'
_space_group_IT_number 1
_cell_length_a 5.509
_cell_length_b 5.509
_cell_length_c 5.509
_cell_angle_alpha 147.95
_cell_angle_beta 139.02
_cell_angle_gamma 52.95
loop_
_space_group_symop_operation_xyz
'x,y,z'
loop_
_atom_site_label
_atom_site_type_symbol
_atom_site_fract_x
_atom_site_fract_y
_atom_site_fract_z
Pb1 Pb 0.997 0.997 0.000
Zn1 Zn 0.695 0.695 0.000
W1 W 0.307 0.307 0.000
```

=====

# 4
The following is a PBE calculation of crystalline SrTbCu2Sb2 at its relaxed geometry, from the Alexandria database.

Output
- raw total energy (eV/atom) = -4.4913
- N(E_F) (states/eV/atom) = 0.46
- raw formation energy (eV/atom) = -0.6997
- magnetization (μB/cell) = 0.00

Cell and atoms, written as CIF:
```
data_SrTbCu2Sb2
_chemical_formula_sum 'Sr1 Tb1 Cu2 Sb2'
_space_group_name_H-M_alt 'P 1'
_space_group_IT_number 1
_cell_length_a 4.447
_cell_length_b 4.447
_cell_length_c 8.531
_cell_angle_alpha 90.00
_cell_angle_beta 90.00
_cell_angle_gamma 120.00
loop_
_space_group_symop_operation_xyz
'x,y,z'
loop_
_atom_site_label
_atom_site_type_symbol
_atom_site_fract_x
_atom_site_fract_y
_atom_site_fract_z
Sb1 Sb 0.333 0.667 0.263
Sb2 Sb 0.667 0.333 0.737
Tb1 Tb 0.000 0.000 0.500
Cu1 Cu 0.333 0.667 0.699
Cu2 Cu 0.667 0.333 0.301
Sr1 Sr 0.000 0.000 0.000
```

=====

# 5
The following is a PBE calculation of crystalline VFe2HRh at its relaxed geometry, from the Alexandria database.

Output
- ΔE to the lowest computed polymorph (eV/f.u.) = 0.00
- raw total energy (eV/atom) = -7.4663
- N(E_F) (states/eV/atom) = 0.92
- magnetization (μB/cell) = 0.00

Cell and atoms, written as CIF:
```
data_VFe2HRh
_chemical_formula_sum 'V1 Fe2 H1 Rh1'
_space_group_name_H-M_alt 'P 1'
_space_group_IT_number 1
_cell_length_a 3.629
_cell_length_b 3.629
_cell_length_c 3.762
_cell_angle_alpha 90.00
_cell_angle_beta 90.00
_cell_angle_gamma 90.00
loop_
_space_group_symop_operation_xyz
'x,y,z'
loop_
_atom_site_label
_atom_site_type_symbol
_atom_site_fract_x
_atom_site_fract_y
_atom_site_fract_z
H1 H 0.000 0.000 0.000
Rh1 Rh 0.500 0.500 0.500
V1 V 0.000 0.000 0.500
Fe1 Fe 0.000 0.500 0.000
Fe2 Fe 0.500 0.000 0.000
```

=====

# 6
The following is a PBE calculation of crystalline Pm3Pr3HoSe8 at its relaxed geometry, from the Alexandria database.

Output
- raw total energy (eV/atom) = -5.9447
- N(E_F) (states/eV/atom) = 0.47
- raw formation energy (eV/atom) = -1.8751
- magnetization (μB/cell) = 0.00

Cell and atoms, written as CIF:
```
data_Pm3Pr3HoSe8
_chemical_formula_sum 'Pm3 Pr3 Ho1 Se8'
_space_group_name_H-M_alt 'P 1'
_space_group_IT_number 1
_cell_length_a 8.407
_cell_length_b 8.408
_cell_length_c 8.437
_cell_angle_alpha 119.89
_cell_angle_beta 90.00
_cell_angle_gamma 120.00
loop_
_space_group_symop_operation_xyz
'x,y,z'
loop_
_atom_site_label
_atom_site_type_symbol
_atom_site_fract_x
_atom_site_fract_y
_atom_site_fract_z
Se1 Se 0.752 0.996 0.741
Se2 Se 0.252 0.504 0.256
Se3 Se 0.248 0.004 0.259
Se4 Se 0.755 0.004 0.259
Se5 Se 0.245 0.490 0.741
Se6 Se 0.245 0.996 0.741
Se7 Se 0.755 0.510 0.259
Se8 Se 0.748 0.496 0.744
Pm1 Pm 0.500 0.500 0.500
Pm2 Pm 0.500 0.000 0.500
Pm3 Pm 0.000 0.500 0.500
Ho1 Ho 0.000 0.000 0.500
Pr1 Pr 0.000 0.000 0.000
Pr2 Pr 0.000 0.500 0.000
Pr3 Pr 0.500 0.500 0.000
```